Entry 1
# InSbOs2

A relaxed InSbOs2 crystal (PBE-GGA, Alexandria via LeMat-Bulk).

Results
The total magnetic moment is 0.000 μB per formula unit.

POSCAR file:
```
InSbOs2
1.0
3.238 0.000 0.000
0.000 3.238 0.000
0.000 0.000 6.569
In Sb Os
1 1 2
Cartesian
0.000 0.000 0.000 In
0.000 0.000 3.285 Sb
1.619 1.619 1.710 Os
1.619 1.619 4.859 Os
```

***

Entry 2
# InSbOs2

A relaxed InSbOs2 crystal (PBE-GGA, Alexandria via LeMat-Bulk).

Results
The total magnetic moment is 0.000 μB per formula unit.

POSCAR file:
```
InSbOs2
1.0
1.553 0.897 8.506
-1.553 0.897 8.506
0.000 -1.793 8.506
In Sb Os
1 1 2
Cartesian
0.000 0.000 0.000 In
0.000 0.000 12.759 Sb
0.000 0.000 6.277 Os
0.000 0.000 19.241 Os
```

***

Entry 3
# InSbOs2

A relaxed InSbOs2 crystal (PBE-GGA, Alexandria via LeMat-Bulk).

Results
The total magnetic moment is 0.000 μB per formula unit.

POSCAR file:
```
InSbOs2
1.0
-3.731 3.731 2.844
3.731 -3.731 2.844
3.731 3.731 -2.844
In Sb Os
2 2 4
Cartesian
0.000 0.000 0.000 In
0.000 3.731 1.422 In
3.731 0.000 1.422 Sb
0.000 0.000 2.844 Sb
1.865 -1.602 2.133 Os
2.129 1.865 0.711 Os
1.865 5.333 -0.711 Os
1.602 1.865 3.555 Os
```

***

Entry 4
# InSbOs2

A relaxed InSbOs2 crystal (PBE-GGA, Alexandria via LeMat-Bulk).

Results
The total magnetic moment is 0.000 μB per formula unit.

POSCAR file:
```
InSbOs2
1.0
2.932 0.000 0.000
0.000 2.932 0.000
0.000 0.000 9.109
In Sb Os
1 1 2
Cartesian
0.000 0.000 0.000 In
1.466 1.466 5.927 Sb
0.000 0.000 3.793 Os
1.466 1.466 2.184 Os
```

***

Most stable structure, least stable structure: entry 4, entry 3.

***

Entry 1
# InSbOs2

A relaxed InSbOs2 crystal (PBE-GGA, Alexandria via LeMat-Bulk).

Results
The total magnetic moment is 0.000 μB per formula unit.

POSCAR file:
```
InSbOs2
1.0
0.000 3.251 3.251
3.251 0.000 3.251
3.251 3.251 0.000
In Sb Os
1 1 2
Cartesian
0.000 0.000 0.000 In
3.251 3.251 3.251 Sb
1.625 1.625 1.625 Os
4.876 4.876 4.876 Os
```

***

Entry 2
# InSbOs2

A relaxed InSbOs2 crystal (PBE-GGA, Alexandria via LeMat-Bulk).

Results
The total magnetic moment is 0.000 μB per formula unit.

POSCAR file:
```
InSbOs2
1.0
4.356 -1.539 0.000
4.356 1.539 0.000
-1.041 0.000 5.360
In Sb Os
1 1 2
Cartesian
0.000 0.000 0.000 In
3.835 0.000 2.680 Sb
1.443 0.000 3.856 Os
6.226 0.000 1.503 Os
```

***

Entry 3
# InSbOs2

A relaxed InSbOs2 crystal (PBE-GGA, Alexandria via LeMat-Bulk).

Results
The total magnetic moment is 0.000 μB per formula unit.

POSCAR file:
```
InSbOs2
1.0
3.241 0.000 0.000
0.000 4.335 0.000
0.000 0.000 5.179
In Sb Os
1 1 2
Cartesian
0.000 0.000 0.000 In
1.621 0.000 2.589 Sb
0.000 2.167 2.589 Os
1.621 2.167 0.000 Os
```

***

Entry 4
# InSbOs2

A relaxed InSbOs2 crystal (PBE-GGA, Alexandria via LeMat-Bulk).

Results
The total magnetic moment is 0.000 μB per formula unit.

POSCAR file:
```
InSbOs2
1.0
-1.562 2.631 4.439
1.562 -2.631 4.439
1.562 2.631 -4.439
In Sb Os
1 1 2
Cartesian
0.000 0.000 0.000 In
0.000 0.000 4.439 Sb
1.562 0.000 2.338 Os
0.000 2.631 2.101 Os
```

***

Most stable structure, least stable structure: entry 1, entry 3.

***

Entry 1
# InSbOs2

A relaxed InSbOs2 crystal (PBE-GGA, Alexandria via LeMat-Bulk).

Results
The total magnetic moment is 0.000 μB per formula unit.

POSCAR file:
```
InSbOs2
1.0
1.568 -2.645 0.000
1.568 2.645 0.000
0.000 0.000 8.814
In Sb Os
1 1 2
Cartesian
0.000 0.000 0.000 In
0.000 0.000 4.407 Sb
1.568 0.000 2.279 Os
1.568 0.000 6.534 Os
```

***

Entry 2
# InSbOs2

A relaxed InSbOs2 crystal (PBE-GGA, Alexandria via LeMat-Bulk).

Results
The total magnetic moment is 0.000 μB per formula unit.

POSCAR file:
```
InSbOs2
1.0
1.479 0.854 10.551
-1.479 0.854 10.551
0.000 -1.708 10.551
In Sb Os
1 1 2
Cartesian
0.000 0.000 0.000 In
0.000 0.000 6.724 Sb
0.000 0.000 15.008 Os
0.000 0.000 23.537 Os
```

***

Entry 3
# InSbOs2

A relaxed InSbOs2 crystal (PBE-GGA, Alexandria via LeMat-Bulk).

Results
The total magnetic moment is 0.000 μB per formula unit.

POSCAR file:
```
InSbOs2
1.0
4.647 0.000 0.000
0.000 3.110 0.000
-2.124 0.000 4.892
In Sb Os
1 1 2
Cartesian
0.000 0.000 0.000 In
-1.062 1.555 2.446 Sb
1.262 0.000 2.446 Os
2.324 1.555 0.000 Os
```

***

Most stable structure, least stable structure: entry 2, entry 1.

***

Entry 1
# Sc4InOs

A relaxed Sc4InOs crystal (PBE-GGA, Alexandria via LeMat-Bulk).

Results
The total magnetic moment is 0.000 μB per formula unit.

POSCAR file:
```
Sc4InOs
1.0
4.123 -6.161 0.000
4.123 6.161 0.000
-1.773 0.000 5.481
Sc In Os
8 2 2
Cartesian
1.540 4.078 5.203 Sc
1.176 0.947 3.393 Sc
4.047 4.078 3.018 Sc
2.062 -0.947 0.653 Sc
4.412 0.947 4.828 Sc
2.427 -4.078 2.463 Sc
5.298 -0.947 2.088 Sc
4.933 -4.078 0.278 Sc
3.680 1.561 1.370 In
2.794 -1.561 4.111 In
2.794 6.150 4.111 Os
3.680 -6.150 1.370 Os
```

***

Entry 2
# Sc4InOs

A relaxed Sc4InOs crystal (PBE-GGA, Alexandria via LeMat-Bulk).

Results
The total magnetic moment is 0.001 μB per formula unit.

POSCAR file:
```
Sc4InOs
1.0
0.000 3.927 3.927
3.927 0.000 3.927
3.927 3.927 0.000
Sc In Os
4 1 1
Cartesian
2.964 2.964 2.964 Sc
4.890 4.890 2.964 Sc
4.890 2.964 4.890 Sc
2.964 4.890 4.890 Sc
0.000 0.000 0.000 In
5.890 5.890 5.890 Os
```

***

Most stable structure, least stable structure: entry 1, entry 2.

***

Entry 1
# Sc3InOs

A relaxed Sc3InOs crystal (PBE-GGA, Alexandria via LeMat-Bulk).

Results
The total magnetic moment is 0.017 μB per formula unit.

POSCAR file:
```
Sc3InOs
1.0
5.146 0.000 0.000
0.000 5.146 0.000
0.000 0.000 5.146
Sc In Os
3 1 1
Cartesian
0.000 0.000 2.573 Sc
0.000 2.573 0.000 Sc
2.573 0.000 0.000 Sc
0.000 0.000 0.000 In
2.573 2.573 2.573 Os
```

***

Entry 2
# Sc3InOs

A relaxed Sc3InOs crystal (PBE-GGA, Alexandria via LeMat-Bulk).

Results
The total magnetic moment is 0.000 μB per formula unit.

POSCAR file:
```
Sc3InOs
1.0
5.029 0.000 0.000
0.000 5.029 0.000
0.000 0.000 5.029
Sc In Os
3 1 1
Cartesian
0.000 0.000 2.514 Sc
0.000 2.514 0.000 Sc
2.514 0.000 0.000 Sc
2.514 2.514 2.514 In
0.000 0.000 0.000 Os
```

***

Most stable structure, least stable structure: entry 2, entry 1.

***

Entry 1
# TmScInOs

A relaxed TmScInOs crystal (PBE-GGA, Alexandria via LeMat-Bulk).

Results
The total magnetic moment is 0.000 μB per formula unit.

POSCAR file:
```
TmScInOs
1.0
3.356 0.000 0.000
0.000 3.356 0.000
0.000 0.000 7.464
Tm Sc In Os
1 1 1 1
Cartesian
0.000 0.000 0.000 Tm
0.000 0.000 4.317 Sc
1.678 1.678 2.298 In
1.678 1.678 5.773 Os
```

***

Entry 2
# TmScInOs

A relaxed TmScInOs crystal (PBE-GGA, Alexandria via LeMat-Bulk).

Results
The total magnetic moment is 0.000 μB per formula unit.

POSCAR file:
```
TmScInOs
1.0
0.000 3.443 3.443
3.443 0.000 3.443
3.443 3.443 0.000
Tm Sc In Os
1 1 1 1
Cartesian
0.000 0.000 0.000 Tm
3.443 3.443 3.443 Sc
1.722 1.722 1.722 In
5.165 5.165 5.165 Os
```

***

Most stable structure, least stable structure: entry 1, entry 2.

***

Entry 1
# ZrScInOs

A relaxed ZrScInOs crystal (PBE-GGA, Alexandria via LeMat-Bulk).

Results
The total magnetic moment is 0.000 μB per formula unit.

POSCAR file:
```
ZrScInOs
1.0
0.000 3.388 3.388
3.388 0.000 3.388
3.388 3.388 0.000
Zr Sc In Os
1 1 1 1
Cartesian
0.000 0.000 0.000 Zr
3.388 3.388 3.388 Sc
5.082 5.082 5.082 In
1.694 1.694 1.694 Os
```

***

Entry 2
# ZrScInOs

A relaxed ZrScInOs crystal (PBE-GGA, Alexandria via LeMat-Bulk).

Results
The total magnetic moment is 0.000 μB per formula unit.

POSCAR file:
```
ZrScInOs
1.0
3.257 0.000 0.000
0.000 3.257 0.000
0.000 0.000 7.470
Zr Sc In Os
1 1 1 1
Cartesian
0.000 0.000 0.000 Zr
0.000 0.000 4.266 Sc
1.629 1.629 2.161 In
1.629 1.629 5.834 Os
```

***

Most stable structure, least stable structure: entry 2, entry 1.

***

Entry 1
# InSi2Os2

A relaxed InSi2Os2 crystal (PBE-GGA, Alexandria via LeMat-Bulk).

Results
The total magnetic moment is 0.000 μB per formula unit.

POSCAR file:
```
InSi2Os2
1.0
-1.814 1.814 6.048
1.814 -1.814 6.048
1.814 1.814 -6.048
In Si Os
1 2 2
Cartesian
0.000 0.000 0.000 In
1.814 0.000 3.024 Si
0.000 1.814 3.024 Si
0.000 0.000 4.624 Os
0.000 0.000 7.471 Os
```

***

Entry 2
# InSi2Os2

A relaxed InSi2Os2 crystal (PBE-GGA, Alexandria via LeMat-Bulk).

Results
The total magnetic moment is 0.000 μB per formula unit.

POSCAR file:
```
InSi2Os2
1.0
7.292 0.000 0.000
0.000 7.292 0.000
0.000 0.000 2.833
In Si Os
2 4 4
Cartesian
0.000 0.000 0.000 In
3.646 3.646 0.000 In
0.979 2.667 0.000 Si
2.667 6.312 0.000 Si
4.625 0.979 0.000 Si
6.312 4.625 0.000 Si
1.130 4.776 1.416 Os
2.515 1.130 1.416 Os
4.776 6.161 1.416 Os
6.161 2.515 1.416 Os
```

***

Entry 3
# InSi2Os2

A relaxed InSi2Os2 crystal (PBE-GGA, Alexandria via LeMat-Bulk).

Results
The total magnetic moment is 0.000 μB per formula unit.

POSCAR file:
```
InSi2Os2
1.0
7.230 0.000 0.000
0.000 7.230 0.000
0.000 0.000 2.916
In Si Os
2 4 4
Cartesian
0.000 0.000 0.000 In
3.615 3.615 0.000 In
1.027 2.588 1.458 Si
2.588 6.203 1.458 Si
4.642 1.027 1.458 Si
6.203 4.642 1.458 Si
1.078 4.693 0.000 Os
2.537 1.078 0.000 Os
4.693 6.152 0.000 Os
6.152 2.537 0.000 Os
```

***

Most stable structure, least stable structure: entry 1, entry 2.